Entry from Alexandria via LeMat-Bulk: a relaxed structure of MnTlICl6 (PBE-GGA).

Properties
* formation energy without anion corrections: -708 meV per atom
* E: -3.39 eV per atom
* theoretical density: 3.13 g cm⁻³
* crystal system: triclinic

The structure in extended XYZ format:
```
9
Lattice="6.5378 0.0000 0.0000 -2.5581 6.9366 0.0000 -2.0051 -3.4569 7.0011" Properties=species:S:1:pos:R:3 pbc="T T T"
Mn 0.0000 0.0000 0.0000
Tl -1.2931 3.4627 2.1333
I -0.0126 0.0091 5.3336
Cl -0.8469 -2.3950 5.1287
Cl -2.9243 1.9288 6.8382
Cl 1.0944 1.2220 1.4853
Cl 0.8247 2.4123 5.1260
Cl 2.8949 -1.9064 6.8249
Cl 2.8771 5.7196 1.4832
```